Record 1
Ba2AsHIr | PBE | optimized geometry

Values from the calculation:
* total DFT energy (no corrections): -4.238 eV/atom
* DOS(E_F): 0.591 states/eV per atom

Cell: 5.648 5.648 3.880 Å, 90.00 90.00 90.00°
Space group P4/mmm (No. 123)
Asymmetric unit:
Ba1 0.000 0.500 0.000 (multiplicity 2)
As1 0.000 0.000 0.500 (multiplicity 1)
H1 0.000 0.000 0.000 (multiplicity 1)
Ir1 0.500 0.500 0.500 (multiplicity 1)

Record 2
K2BaAsH | PBE | optimized geometry

Values from the calculation:
* total DFT energy (no corrections): -2.899 eV/atom

Cell: 5.060 5.060 5.670 Å, 90.00 90.00 90.00°
Space group P4/mmm (No. 123)
Asymmetric unit:
K1 0.000 0.500 0.000 (multiplicity 2)
Ba1 0.000 0.000 0.500 (multiplicity 1)
As1 0.500 0.500 0.500 (multiplicity 1)
H1 0.000 0.000 0.000 (multiplicity 1)

Record 3
KBaAs2H | PBE | optimized geometry

Values from the calculation:
* total DFT energy (no corrections): -3.312 eV/atom
* DOS(E_F): 0.234 states/eV per atom

Cell: 4.911 4.911 4.864 Å, 90.00 90.00 90.00°
Space group P4/mmm (No. 123)
Asymmetric unit:
K1 0.000 0.000 0.000 (multiplicity 1)
Ba1 0.500 0.500 0.000 (multiplicity 1)
As1 0.000 0.500 0.500 (multiplicity 2)
H1 0.000 0.000 0.500 (multiplicity 1)

Record 4
BaLi2AsH | PBE | optimized geometry

Values from the calculation:
* total DFT energy (no corrections): -3.516 eV/atom

Cell: 4.413 11.748 7.337 Å, 90.00 90.00 90.00°
Space group Cmcm (No. 63)
Asymmetric unit:
Ba1 0.000 0.068 0.250 (multiplicity 4)
Li1 0.000 0.334 0.064 (multiplicity 8)
As1 0.000 0.212 0.750 (multiplicity 4)
H1 0.000 0.500 0.000 (multiplicity 4)

Record 5
Ba2LiAsH | PBE | optimized geometry

Values from the calculation:
* total DFT energy (no corrections): -3.421 eV/atom
* DOS(E_F): 0.424 states/eV per atom

Cell: 6.964 4.491 9.034 Å, 90.00 108.63 90.00°
Space group P2_1/m (No. 11)
Asymmetric unit:
Ba1 0.188 0.250 0.400 (multiplicity 2)
Ba2 0.231 0.250 0.958 (multiplicity 2)
Li1 0.464 0.750 0.257 (multiplicity 2)
As1 0.346 0.750 0.701 (multiplicity 2)
H1 0.182 0.750 0.183 (multiplicity 2)

Record 6
Ba2LiAsH | PBE | optimized geometry

Values from the calculation:
* total DFT energy (no corrections): -3.344 eV/atom
* DOS(E_F): 0.359 states/eV per atom

Cell: 5.421 5.421 4.423 Å, 90.00 90.00 90.00°
Space group P4/mmm (No. 123)
Asymmetric unit:
Ba1 0.000 0.500 0.000 (multiplicity 2)
Li1 0.000 0.000 0.500 (multiplicity 1)
As1 0.500 0.500 0.500 (multiplicity 1)
H1 0.000 0.000 0.000 (multiplicity 1)

Record 7
BaMgAsH2 | PBE | optimized geometry

Values from the calculation:
* total DFT energy (no corrections): -3.485 eV/atom
* DOS(E_F): 0.308 states/eV per atom

Cell: 4.465 12.211 6.718 Å, 90.00 90.00 90.00°
Space group Cmcm (No. 63)
Asymmetric unit:
Ba1 0.000 0.220 0.250 (multiplicity 4)
Mg1 0.000 0.500 0.000 (multiplicity 4)
As1 0.000 0.051 0.750 (multiplicity 4)
H1 0.000 0.346 0.560 (multiplicity 8)

Record 8
BaNa2AsH | PBE | optimized geometry

Values from the calculation:
* total DFT energy (no corrections): -3.013 eV/atom
* DOS(E_F): 0.086 states/eV per atom

Cell: 4.773 4.773 5.396 Å, 90.00 90.00 90.00°
Space group P4/mmm (No. 123)
Asymmetric unit:
Ba1 0.000 0.000 0.000 (multiplicity 1)
Na1 0.000 0.500 0.500 (multiplicity 2)
As1 0.500 0.500 0.000 (multiplicity 1)
H1 0.000 0.000 0.500 (multiplicity 1)

Record 9
Ba2NaAsH | PBE | optimized geometry

Values from the calculation:
* total DFT energy (no corrections): -3.183 eV/atom
* DOS(E_F): 0.345 states/eV per atom

Cell: 5.440 5.440 4.646 Å, 90.00 90.00 90.00°
Space group P4/mmm (No. 123)
Asymmetric unit:
Ba1 0.000 0.500 0.000 (multiplicity 2)
Na1 0.000 0.000 0.500 (multiplicity 1)
As1 0.500 0.500 0.500 (multiplicity 1)
H1 0.000 0.000 0.000 (multiplicity 1)

Record 10
BaNa2AsH | PBE | optimized geometry

Values from the calculation:
* total DFT energy (no corrections): -3.031 eV/atom

Cell: 4.602 12.243 8.889 Å, 90.00 90.00 90.00°
Space group Cmcm (No. 63)
Asymmetric unit:
Ba1 0.000 0.056 0.250 (multiplicity 4)
Na1 0.000 0.328 0.064 (multiplicity 8)
As1 0.000 0.235 0.750 (multiplicity 4)
H1 0.000 0.500 0.000 (multiplicity 4)

Record 11
BaNiAsH2 | PBE | optimized geometry

Values from the calculation:
* total DFT energy (no corrections): -4.184 eV/atom
* DOS(E_F): 0.380 states/eV per atom

Cell: 3.987 11.927 6.397 Å, 90.00 90.00 90.00°
Space group Cmcm (No. 63)
Asymmetric unit:
Ba1 0.000 0.208 0.250 (multiplicity 4)
Ni1 0.000 0.500 0.000 (multiplicity 4)
As1 0.000 0.056 0.750 (multiplicity 4)
H1 0.000 0.370 0.537 (multiplicity 8)

Record 12
Ba5As2HO | PBE | optimized geometry

Values from the calculation:
* total DFT energy (no corrections): -4.224 eV/atom
* DOS(E_F): 0.360 states/eV per atom

Cell: 4.684 18.901 12.926 Å, 90.00 90.00 90.00°
Space group Cmc2_1 (No. 36)
Asymmetric unit:
Ba1 0.000 0.005 0.000 (multiplicity 4)
Ba2 0.000 0.151 0.712 (multiplicity 4)
Ba3 0.000 0.188 0.071 (multiplicity 4)
Ba4 0.000 0.206 0.378 (multiplicity 4)
Ba5 0.000 0.453 0.754 (multiplicity 4)
As1 0.000 0.377 0.016 (multiplicity 4)
As2 0.000 0.382 0.398 (multiplicity 4)
H1 0.000 0.296 0.732 (multiplicity 4)
O1 0.000 0.067 0.178 (multiplicity 4)

Record 13
Ba3As4H2O14 | PBE | optimized geometry

Values from the calculation:
* total DFT energy (no corrections): -6.169 eV/atom
* DOS(E_F): 0.000 states/eV per atom

Cell: 12.174 8.527 14.812 Å, 90.00 105.83 90.00°
Space group C2/c (No. 15)
Asymmetric unit:
Ba1 0.000 0.106 0.250 (multiplicity 4)
Ba2 0.230 0.495 0.451 (multiplicity 8)
As1 0.018 0.225 0.545 (multiplicity 8)
As2 0.168 0.467 0.693 (multiplicity 8)
H1 0.248 0.252 0.227 (multiplicity 8)
O1 0.036 0.413 0.614 (multiplicity 8)
O2 0.068 0.076 0.622 (multiplicity 8)
O3 0.100 0.241 0.469 (multiplicity 8)
O4 0.125 0.241 0.001 (multiplicity 8)
O5 0.148 0.362 0.246 (multiplicity 8)
O6 0.195 0.328 0.785 (multiplicity 8)
O7 0.225 0.040 0.358 (multiplicity 8)

Record 14
BaAsHO4 | PBE | optimized geometry

Values from the calculation:
* total DFT energy (no corrections): -6.113 eV/atom
* DOS(E_F): 0.000 states/eV per atom

Cell: 8.714 10.084 19.819 Å, 90.00 90.00 90.00°
Space group Pbca (No. 61)
Asymmetric unit:
Ba1 0.124 0.177 0.125 (multiplicity 8)
Ba2 0.133 0.183 0.882 (multiplicity 8)
As1 0.021 0.021 0.293 (multiplicity 8)
As2 0.245 0.076 0.504 (multiplicity 8)
H1 0.083 0.616 0.000 (multiplicity 8)
H2 0.213 0.576 0.280 (multiplicity 8)
O1 0.062 0.505 0.285 (multiplicity 8)
O2 0.076 0.626 0.827 (multiplicity 8)
O3 0.080 0.169 0.506 (multiplicity 8)
O4 0.082 0.621 0.155 (multiplicity 8)
O5 0.156 0.595 0.578 (multiplicity 8)
O6 0.158 0.602 0.431 (multiplicity 8)
O7 0.183 0.126 0.275 (multiplicity 8)
O8 0.200 0.597 0.002 (multiplicity 8)

Calculated magnetic moment in order - 0.72, 0.00, 0.00, 0.00, 0.83, 0.00, 0.00, 0.00, 0.00, 0.00, 0.00, 0.82, 0.15, 0.04 μB per formula unit
Calculated volume in order - 24.750, 29.035, 23.460, 19.018, 26.772, 26.000, 18.315, 24.579, 27.497, 25.039, 15.208, 31.787, 16.080, 15.548 Å³ per atom